1.
DFT (PBEsol) results for a relaxed BeCrIr2 crystal.

Output
The calculation puts the formation energy at -0.88 eV per formula unit. The symmetry is P4/mmm (123).

Cell and atoms, written as CIF:
```
data_BeCrIr2
_cell_length_a 2.8790
_cell_length_b 4.1084
_cell_length_c 4.1084
_cell_angle_alpha 90.00
_cell_angle_beta 90.00
_cell_angle_gamma 90.00
_symmetry_space_group_name_H-M 'P 1'
_symmetry_Int_Tables_number 1
loop_
_symmetry_equiv_pos_as_xyz
'x,y,z'
loop_
_atom_site_label
_atom_site_type_symbol
_atom_site_fract_x
_atom_site_fract_y
_atom_site_fract_z
Be1 Be 0.5000 0.5000 0.5000
Ir1 Ir 0.0000 0.0000 0.5000
Ir2 Ir 0.0000 0.5000 0.0000
Cr1 Cr 0.5000 0.0000 0.0000
```



2.
DFT (PBEsol) results for a relaxed Ca2SiW crystal.

Output
The symmetry is Amm2 (38). Its uncorrected formation energy is 0.3584 eV per atom.

Cell and atoms, written as CIF:
```
data_Ca2SiW
_cell_length_a 4.1633
_cell_length_b 4.1319
_cell_length_c 5.9872
_cell_angle_alpha 110.19
_cell_angle_beta 90.00
_cell_angle_gamma 90.00
_symmetry_space_group_name_H-M 'P 1'
_symmetry_Int_Tables_number 1
loop_
_symmetry_equiv_pos_as_xyz
'x,y,z'
loop_
_atom_site_label
_atom_site_type_symbol
_atom_site_fract_x
_atom_site_fract_y
_atom_site_fract_z
Ca1 Ca 0.5000 0.2713 0.5425
Ca2 Ca 0.0000 0.9781 0.9562
Si1 Si 0.0000 0.6802 0.3604
W1 W 0.5000 0.5705 0.1411
```



3.
DFT (PBEsol) results for a relaxed IrOsRu2 crystal.

Output
The calculation puts the formation energy at 0.23 eV per formula unit. The symmetry is P4mm (99).

Cell and atoms, written as CIF:
```
data_IrOsRu2
_cell_length_a 2.6792
_cell_length_b 2.6792
_cell_length_c 7.6116
_cell_angle_alpha 90.00
_cell_angle_beta 90.00
_cell_angle_gamma 90.00
_symmetry_space_group_name_H-M 'P 1'
_symmetry_Int_Tables_number 1
loop_
_symmetry_equiv_pos_as_xyz
'x,y,z'
loop_
_atom_site_label
_atom_site_type_symbol
_atom_site_fract_x
_atom_site_fract_y
_atom_site_fract_z
Ir1 Ir 0.0000 0.0000 0.4988
Ru1 Ru 0.5000 0.5000 0.2476
Ru2 Ru 0.0000 0.0000 0.0007
Os1 Os 0.5000 0.5000 0.7529
```



4.
DFT (PBEsol) results for a relaxed Mn2TlCr crystal.

Output
The calculation puts the formation energy at 2.42 eV per formula unit. The symmetry is Cmmm (65).

Cell and atoms, written as CIF:
```
data_Mn2TlCr
_cell_length_a 2.9276
_cell_length_b 4.5473
_cell_length_c 4.5473
_cell_angle_alpha 104.40
_cell_angle_beta 90.00
_cell_angle_gamma 90.00
_symmetry_space_group_name_H-M 'P 1'
_symmetry_Int_Tables_number 1
loop_
_symmetry_equiv_pos_as_xyz
'x,y,z'
loop_
_atom_site_label
_atom_site_type_symbol
_atom_site_fract_x
_atom_site_fract_y
_atom_site_fract_z
Cr1 Cr 0.5000 0.5000 0.5000
Mn1 Mn 0.0000 0.5000 0.0000
Mn2 Mn 0.0000 0.0000 0.5000
Tl1 Tl 0.5000 0.0000 0.0000
```



5.
DFT (PBEsol) results for a relaxed HfSiSnMo2 crystal.

Output
The symmetry is P4/mmm (123). Its uncorrected formation energy is 1.8868 eV per atom.

Cell and atoms, written as CIF:
```
data_HfSiSnMo2
_cell_length_a 4.6662
_cell_length_b 4.9118
_cell_length_c 4.9118
_cell_angle_alpha 90.00
_cell_angle_beta 90.00
_cell_angle_gamma 90.00
_symmetry_space_group_name_H-M 'P 1'
_symmetry_Int_Tables_number 1
loop_
_symmetry_equiv_pos_as_xyz
'x,y,z'
loop_
_atom_site_label
_atom_site_type_symbol
_atom_site_fract_x
_atom_site_fract_y
_atom_site_fract_z
Sn1 Sn 0.0000 0.0000 0.0000
Mo1 Mo 0.0000 0.5000 0.0000
Mo2 Mo 0.0000 0.0000 0.5000
Hf1 Hf 0.5000 0.5000 0.5000
Si1 Si 0.5000 0.0000 0.0000
```



6.
DFT (PBEsol) results for a relaxed Zr2CrAu crystal.

Output
The calculation puts the formation energy at -0.06 eV per formula unit. The symmetry is Imm2 (44).

Cell and atoms, written as CIF:
```
data_Zr2CrAu
_cell_length_a 3.2107
_cell_length_b 4.6443
_cell_length_c 5.6175
_cell_angle_alpha 114.42
_cell_angle_beta 106.61
_cell_angle_gamma 90.00
_symmetry_space_group_name_H-M 'P 1'
_symmetry_Int_Tables_number 1
loop_
_symmetry_equiv_pos_as_xyz
'x,y,z'
loop_
_atom_site_label
_atom_site_type_symbol
_atom_site_fract_x
_atom_site_fract_y
_atom_site_fract_z
Zr1 Zr 0.0229 0.0229 0.0458
Zr2 Zr 0.2448 0.7448 0.4897
Au1 Au 0.4772 0.4772 0.9544
Cr1 Cr 0.7551 0.2551 0.5101
```



7.
DFT (PBEsol) results for a relaxed LaAlTe2 crystal.

Output
The symmetry is Amm2 (38). Its uncorrected formation energy is -1.0680 eV per atom.

Cell and atoms, written as CIF:
```
data_LaAlTe2
_cell_length_a 4.3113
_cell_length_b 4.4179
_cell_length_c 6.2640
_cell_angle_alpha 90.00
_cell_angle_beta 110.13
_cell_angle_gamma 90.00
_symmetry_space_group_name_H-M 'P 1'
_symmetry_Int_Tables_number 1
loop_
_symmetry_equiv_pos_as_xyz
'x,y,z'
loop_
_atom_site_label
_atom_site_type_symbol
_atom_site_fract_x
_atom_site_fract_y
_atom_site_fract_z
La1 La 0.2919 0.0000 0.5837
Te1 Te 0.0010 0.0000 0.0020
Te2 Te 0.7171 0.5000 0.4342
Al1 Al 0.4900 0.5000 0.9801
```



8.
DFT (PBEsol) results for a relaxed Be2CdBr crystal.

Output
The symmetry is C2/m (12). Its uncorrected formation energy is 0.2707 eV per atom.

Cell and atoms, written as CIF:
```
data_Be2CdBr
_cell_length_a 3.2429
_cell_length_b 4.5478
_cell_length_c 5.6347
_cell_angle_alpha 78.26
_cell_angle_beta 73.28
_cell_angle_gamma 69.11
_symmetry_space_group_name_H-M 'P 1'
_symmetry_Int_Tables_number 1
loop_
_symmetry_equiv_pos_as_xyz
'x,y,z'
loop_
_atom_site_label
_atom_site_type_symbol
_atom_site_fract_x
_atom_site_fract_y
_atom_site_fract_z
Be1 Be 0.8407 0.4470 0.8717
Be2 Be 0.1593 0.5530 0.1283
Br1 Br 0.5000 0.5000 0.5000
Cd1 Cd 0.5000 0.0000 0.0000
```



Looking at uncorrected energy for the records above, in order, we have -8.6927 -5.5967 -10.5378 -7.4935 -6.9222 -8.1025 -5.1905 -2.4960 eV per atom.